1.
## TcTe2OsF (GGA-PBE)

Data for TcTe2OsF after structural relaxation.

Cell lengths 5.175, 3.803, 5.175 Å; angles 90.00, 90.00, 90.00 degrees
Atoms (fractional coordinates):
Te: 0.500 0.000 0.000
Te: 0.000 0.000 0.500
F: 0.000 0.500 0.000
Tc: 0.000 0.000 0.000
Os: 0.500 0.500 0.500

Calculated values
- Formation energy from raw total energies: 2.84 eV/f.u.
- Space group: P4/mmm, No. 123
- Raw total energy: -26.91 eV/cell

2.
## Te2OsF (GGA-PBE)

Data for Te2OsF after structural relaxation.

Cell lengths 7.339, 7.339, 7.339 Å; angles 32.81, 32.81, 32.81 degrees
Atoms (fractional coordinates):
Os: 0.500 0.500 0.500
F: 0.000 0.000 0.000
Te: 0.890 0.890 0.890
Te: 0.110 0.110 0.110

Calculated values
- Formation energy from raw total energies: -1.50 eV/f.u.
- Space group: R-3m, No. 166
- Raw total energy: -20.88 eV/cell
- Energy above the lowest structure with this stoichiometry: 0.00 eV per formula unit

3.
## TeOs2F (GGA-PBE)

Data for TeOs2F after structural relaxation.

Cell lengths 6.751, 6.751, 5.509 Å; angles 52.22, 52.22, 90.00 degrees
Atoms (fractional coordinates):
Te: 0.000 0.000 0.000
Te: 0.750 0.250 0.500
Os: 0.587 0.125 0.250
Os: 0.163 0.625 0.250
Os: 0.375 0.413 0.750
Os: 0.875 0.837 0.750
F: 0.500 0.500 0.000
F: 0.250 0.750 0.500

Calculated values
- Formation energy from raw total energies: 3.32 eV/f.u.
- Space group: I-42d, No. 122
- Raw total energy: -48.31 eV/cell
- Energy above the lowest structure with this stoichiometry: 0.87 eV per formula unit

4.
## Te3OsF (GGA-PBE)

Data for Te3OsF after structural relaxation.

Cell lengths 4.779, 4.779, 4.779 Å; angles 90.00, 90.00, 90.00 degrees
Atoms (fractional coordinates):
Os: 0.500 0.500 0.500
Te: 0.500 0.000 0.000
Te: 0.000 0.500 0.000
Te: 0.000 0.000 0.500
F: 0.000 0.000 0.000

Calculated values
- Formation energy from raw total energies: 5.11 eV/f.u.
- Space group: Pm-3m, No. 221
- Raw total energy: -17.42 eV/cell
- Energy above the lowest structure with this stoichiometry: 2.87 eV per formula unit

5.
## Te3OsF (GGA-PBE)

Data for Te3OsF after structural relaxation.

Cell lengths 5.198, 5.198, 5.198 Å; angles 90.00, 90.00, 90.00 degrees
Atoms (fractional coordinates):
Te: 0.500 0.000 0.000
Te: 0.000 0.000 0.500
Te: 0.000 0.500 0.000
F: 0.500 0.500 0.500
Os: 0.000 0.000 0.000

Calculated values
- Formation energy from raw total energies: 2.24 eV/f.u.
- Space group: Pm-3m, No. 221
- Raw total energy: -20.29 eV/cell
- Energy above the lowest structure with this stoichiometry: 0.00 eV per formula unit

6.
## Te2OsF (GGA-PBE)

Data for Te2OsF after structural relaxation.

Cell lengths 4.594, 4.594, 4.594 Å; angles 60.00, 60.00, 60.00 degrees
Atoms (fractional coordinates):
Te: 0.750 0.750 0.750
Te: 0.250 0.250 0.250
Os: 0.500 0.500 0.500
F: 0.000 0.000 0.000

Calculated values
- Formation energy from raw total energies: -1.25 eV/f.u.
- Space group: Fm-3m, No. 225
- Raw total energy: -20.64 eV/cell
- Energy above the lowest structure with this stoichiometry: 0.24 eV per formula unit

What did the third record say?
## TeOs2F (GGA-PBE)

Data for TeOs2F after structural relaxation.

Cell lengths 6.751, 6.751, 5.509 Å; angles 52.22, 52.22, 90.00 degrees
Atoms (fractional coordinates):
Te: 0.000 0.000 0.000
Te: 0.750 0.250 0.500
Os: 0.587 0.125 0.250
Os: 0.163 0.625 0.250
Os: 0.375 0.413 0.750
Os: 0.875 0.837 0.750
F: 0.500 0.500 0.000
F: 0.250 0.750 0.500

Calculated values
- Formation energy from raw total energies: 3.32 eV/f.u.
- Space group: I-42d, No. 122
- Raw total energy: -48.31 eV/cell
- Energy above the lowest structure with this stoichiometry: 0.87 eV per formula unit

Please write out number 3 again, unchanged.
## TeOs2F (GGA-PBE)

Data for TeOs2F after structural relaxation.

Cell lengths 6.751, 6.751, 5.509 Å; angles 52.22, 52.22, 90.00 degrees
Atoms (fractional coordinates):
Te: 0.000 0.000 0.000
Te: 0.750 0.250 0.500
Os: 0.587 0.125 0.250
Os: 0.163 0.625 0.250
Os: 0.375 0.413 0.750
Os: 0.875 0.837 0.750
F: 0.500 0.500 0.000
F: 0.250 0.750 0.500

Calculated values
- Formation energy from raw total energies: 3.32 eV/f.u.
- Space group: I-42d, No. 122
- Raw total energy: -48.31 eV/cell
- Energy above the lowest structure with this stoichiometry: 0.87 eV per formula unit

> What is the formula in the sixth record?

Te2OsF